First-principles (PBE) data for an optimized crystal structure of Th5Bi4C, as listed in Alexandria via LeMat-Bulk.

Cell: 6.364 7.691 7.691 Å, 80.14 65.56 65.56°
Element x y z (fractional)
Th1 0.910 0.340 0.847
Th2 0.250 0.847 0.660
Th3 0.757 0.153 0.340
Th4 0.097 0.660 0.153
Th5 0.451 0.000 0.000
Bi1 0.420 0.395 0.768
Bi2 0.816 0.768 0.605
Bi3 0.188 0.232 0.395
Bi4 0.583 0.605 0.232
C1 0.038 0.000 0.000

Calculated total energy   -6.64 eV/atom
Calculated volume   312.0 Å³ per cell
Magnetic moment   0.00 μB/f.u.
Space group   I4, No. 79
DFT formation energy   -0.451 eV per atom

=====

First-principles (PBE) data for an optimized crystal structure of Na2MnInS4, as listed in Alexandria via LeMat-Bulk.

Cell: 3.771 6.436 6.970 Å, 107.74 90.00 90.00°
Site moments in Bohr magnetons follow the coordinates.
Element x y z (fractional)
Na1 0.500 0.000 0.500  0.01
Na2 0.000 0.500 0.500  0.00
Mn1 0.500 0.500 0.000  3.75
In1 0.000 0.000 0.000  0.03
S1 0.500 0.259 0.211  -0.02
S2 0.500 0.741 0.789  -0.02
S3 0.000 0.274 0.790  -0.02
S4 0.000 0.726 0.210  -0.02

Calculated total energy   -4.69 eV/atom
Calculated volume   161.1 Å³ per cell
Magnetic moment   4.00 μB/f.u.
Space group   P2/m, No. 10

=====

First-principles (PBE) data for an optimized crystal structure of TmCu2Ni, as listed in Alexandria via LeMat-Bulk.

Cell: 4.116 4.116 5.011 Å, 65.75 65.75 60.00°
Element x y z (fractional)
Ni1 0.500 0.500 0.500
Tm1 0.000 0.000 0.000
Cu1 0.793 0.793 0.622
Cu2 0.207 0.207 0.378

Calculated total energy   -4.81 eV/atom
Calculated volume   64.7 Å³ per cell
Magnetic moment   0.00 μB/f.u.
Space group   R-3m, No. 166
DFT formation energy   -0.196 eV per atom

=====

First-principles (PBE) data for an optimized crystal structure of TaHg2As, as listed in Alexandria via LeMat-Bulk.

Cell: 7.785 7.785 4.271 Å, 74.06 74.06 21.70°
Element x y z (fractional)
As1 0.250 0.250 0.250
Hg1 0.067 0.067 0.930
Hg2 0.433 0.433 0.570
Ta1 0.750 0.750 0.750

Calculated total energy   -4.07 eV/atom
Calculated volume   91.9 Å³ per cell
Magnetic moment   0.00 μB/f.u.
Space group   C2/m, No. 12
DFT formation energy   0.206 eV per atom

=====

First-principles (PBE) data for an optimized crystal structure of Cs2LiH4, as listed in Alexandria via LeMat-Bulk.

Cell: 4.399 4.399 7.905 Å, 73.85 73.85 90.00°
Site moments in Bohr magnetons follow the coordinates.
Element x y z (fractional)
Cs1 0.357 0.357 0.287  0.01
Cs2 0.643 0.643 0.713  0.01
H1 0.132 0.132 0.736  0.08
H2 0.868 0.868 0.264  0.08
H3 0.000 0.500 0.000  0.10
H4 0.500 0.000 0.000  0.10
Li1 0.000 0.000 0.000  -0.01

Calculated total energy   -2.37 eV/atom
Calculated volume   140.6 Å³ per cell
Magnetic moment   0.94 μB/f.u.
Space group   I4/mmm, No. 139

=====

First-principles (PBE) data for an optimized crystal structure of MgH6Pd8, as listed in Alexandria via LeMat-Bulk.

Cell: 5.174 5.166 7.691 Å, 72.50 67.52 57.02°
Element x y z (fractional)
Mg1 0.000 0.000 0.000
H1 0.970 0.551 0.210
H2 0.686 0.117 0.799
H3 0.469 0.797 0.592
H4 0.531 0.203 0.408
H5 0.314 0.883 0.201
H6 0.030 0.449 0.790
Pd1 0.790 0.433 0.668
Pd2 0.898 0.220 0.326
Pd3 0.556 0.889 0.327
Pd4 0.338 0.336 0.999
Pd5 0.662 0.664 0.001
Pd6 0.444 0.111 0.673
Pd7 0.102 0.780 0.674
Pd8 0.210 0.567 0.332

Calculated total energy   -4.42 eV/atom
Calculated volume   158.2 Å³ per cell
Magnetic moment   0.00 μB/f.u.
Space group   P-1, No. 2

=====

First-principles (PBE) data for an optimized crystal structure of Pu2S2I, as listed in Alexandria via LeMat-Bulk.

Cell: 3.935 8.945 8.945 Å, 90.00 90.00 90.00°
Site moments in Bohr magnetons follow the coordinates.
Element x y z (fractional)
Pu1 0.500 0.660 0.840  5.35
Pu2 0.500 0.840 0.340  5.35
Pu3 0.500 0.160 0.660  5.35
Pu4 0.500 0.340 0.160  5.35
S1 0.500 0.631 0.131  -0.15
S2 0.500 0.869 0.631  -0.15
S3 0.500 0.369 0.869  -0.15
S4 0.500 0.131 0.369  -0.15
I1 0.000 0.500 0.500  -0.04
I2 0.000 0.000 0.000  -0.04

Calculated total energy   -8.67 eV/atom
Calculated volume   314.8 Å³ per cell
Magnetic moment   11.00 μB/f.u.
Space group   P4/mbm, No. 127

=====

First-principles (PBE) data for an optimized crystal structure of Pa7Ge2C2, as listed in Alexandria via LeMat-Bulk.

Cell: 6.097 6.565 6.565 Å, 62.00 93.31 93.31°
Element x y z (fractional)
Pa1 0.770 0.935 0.509
Pa2 0.230 0.491 0.065
Pa3 0.230 0.065 0.491
Pa4 0.770 0.509 0.935
Pa5 0.500 0.000 0.000
Pa6 0.315 0.561 0.561
Pa7 0.685 0.439 0.439
Ge1 0.000 0.181 0.819
Ge2 0.000 0.819 0.181
C1 0.532 0.226 0.226
C2 0.468 0.774 0.774

Calculated total energy   -8.71 eV/atom
Calculated volume   231.5 Å³ per cell
Magnetic moment   0.00 μB/f.u.
Space group   C2/m, No. 12
DFT formation energy   -0.150 eV per atom